(1)
Compound: TiSnSN2
Source: the Alexandria database
Functional: PBEsol
Structure: optimized geometry

Properties
uncorrected formation energy: 82.6 kJ per mole of atoms

Geometry as CIF:
```
data_TiSnSN2
_chemical_formula_sum 'Ti1 Sn1 S1 N2'
_cell_length_a 3.9886
_cell_length_b 3.9886
_cell_length_c 5.0295
_cell_angle_alpha 90.00
_cell_angle_beta 90.00
_cell_angle_gamma 90.00
_space_group_name_H-M_alt 'P 1'
_space_group_IT_number 1
_space_group_name_Hall 'P 1'
loop_
_atom_site_label
_atom_site_fract_x
_atom_site_fract_y
_atom_site_fract_z
N1 0.5000 0.0000 0.0000
N2 0.0000 0.5000 0.0000
Sn1 0.0000 0.0000 0.0000
Ti1 0.5000 0.5000 0.5000
S1 0.0000 0.0000 0.5000
```

---

(2)
Compound: MgBe2Zn
Source: the Alexandria database
Functional: PBEsol
Structure: optimized geometry

Properties
energy above the most stable polymorph in this dataset: 0.0 meV per atom
energy of formation from the pure elements: 317 meV per atom

Geometry as CIF:
```
data_MgBe2Zn
_chemical_formula_sum 'Mg1 Be2 Zn1'
_cell_length_a 4.1318
_cell_length_b 4.1318
_cell_length_c 4.1318
_cell_angle_alpha 60.00
_cell_angle_beta 60.00
_cell_angle_gamma 60.00
_space_group_name_H-M_alt 'P 1'
_space_group_IT_number 1
_space_group_name_Hall 'P 1'
loop_
_atom_site_label
_atom_site_fract_x
_atom_site_fract_y
_atom_site_fract_z
Be1 0.7500 0.7500 0.7500
Be2 0.0000 0.0000 0.0000
Zn1 0.2500 0.2500 0.2500
Mg1 0.5000 0.5000 0.5000
```

---

(3)
Compound: V6P7O24
Source: the Alexandria database
Functional: PBEsol
Structure: optimized geometry

Properties
uncorrected formation energy: -199.5 kJ per mole of atoms

Geometry as CIF:
```
data_V6P7O24
_chemical_formula_sum 'V12 P14 O48'
_cell_length_a 5.2046
_cell_length_b 6.4534
_cell_length_c 26.2818
_cell_angle_alpha 90.00
_cell_angle_beta 90.00
_cell_angle_gamma 106.71
_space_group_name_H-M_alt 'P 1'
_space_group_IT_number 1
_space_group_name_Hall 'P 1'
loop_
_atom_site_label
_atom_site_fract_x
_atom_site_fract_y
_atom_site_fract_z
O1 0.0468 0.9437 0.3357
O2 0.8900 0.4163 0.8070
O3 0.1100 0.5837 0.3070
O4 0.8900 0.4163 0.6930
O5 0.5912 0.8386 0.4714
O6 0.1255 0.9956 0.0500
O7 0.5143 0.0663 0.7977
O8 0.1560 0.3923 0.5959
O9 0.5143 0.0663 0.7023
O10 0.1255 0.9956 0.4500
O11 0.5573 0.2937 0.4465
O12 0.4088 0.1614 0.5286
O13 0.8317 0.2010 0.2500
O14 0.4404 0.3665 0.1443
O15 0.1568 0.7684 0.8769
O16 0.4427 0.7063 0.9465
O17 0.9532 0.0563 0.8357
O18 0.8745 0.0044 0.9500
O19 0.4857 0.9337 0.2023
O20 0.1560 0.3923 0.9041
O21 0.8432 0.2316 0.3769
O22 0.8745 0.0044 0.5500
O23 0.3846 0.7880 0.1173
O24 0.5912 0.8386 0.0286
O25 0.8696 0.6308 0.5196
O26 0.3391 0.2229 0.2500
O27 0.6154 0.2120 0.6173
O28 0.6154 0.2120 0.8827
O29 0.3846 0.7880 0.3827
O30 0.1100 0.5837 0.1930
O31 0.8696 0.6308 0.9804
O32 0.5596 0.6335 0.8557
O33 0.0468 0.9437 0.1643
O34 0.1304 0.3692 0.0196
O35 0.4404 0.3665 0.3557
O36 0.5596 0.6335 0.6443
O37 0.1304 0.3692 0.4804
O38 0.4857 0.9337 0.2977
O39 0.1683 0.7990 0.7500
O40 0.8440 0.6077 0.4041
O41 0.5573 0.2937 0.0535
O42 0.1568 0.7684 0.6231
O43 0.8432 0.2316 0.1231
O44 0.8440 0.6077 0.0959
O45 0.6609 0.7771 0.7500
O46 0.4427 0.7063 0.5535
O47 0.9532 0.0563 0.6643
O48 0.4088 0.1614 0.9714
V1 0.1040 0.2686 0.3135
V2 0.7919 0.9115 0.4009
V3 0.8234 0.3112 0.9525
V4 0.8960 0.7314 0.6865
V5 0.8960 0.7314 0.8135
V6 0.1040 0.2686 0.1865
V7 0.2081 0.0885 0.9009
V8 0.2081 0.0885 0.5991
V9 0.1766 0.6888 0.0475
V10 0.7919 0.9115 0.0991
V11 0.8234 0.3112 0.5475
V12 0.1766 0.6888 0.4525
P1 0.6669 0.3779 0.3912
P2 0.2882 0.2023 0.4775
P3 0.2882 0.2023 0.0225
P4 0.4663 0.9140 0.7500
P5 0.7654 0.2030 0.8322
P6 0.2346 0.7970 0.1678
P7 0.6669 0.3779 0.1088
P8 0.7118 0.7977 0.9775
P9 0.7654 0.2030 0.6678
P10 0.2346 0.7970 0.3322
P11 0.3331 0.6221 0.8912
P12 0.7118 0.7977 0.5225
P13 0.5337 0.0860 0.2500
P14 0.3331 0.6221 0.6088
```

---

(4)
Compound: FePIr2
Source: the Alexandria database
Functional: PBEsol
Structure: optimized geometry

Properties
energy of formation from the pure elements: 267 meV per atom

Geometry as CIF:
```
data_FePIr2
_chemical_formula_sum 'Fe1 P1 Ir2'
_cell_length_a 4.2171
_cell_length_b 4.2171
_cell_length_c 4.2171
_cell_angle_alpha 60.00
_cell_angle_beta 60.00
_cell_angle_gamma 60.00
_space_group_name_H-M_alt 'P 1'
_space_group_IT_number 1
_space_group_name_Hall 'P 1'
loop_
_atom_site_label
_atom_site_fract_x
_atom_site_fract_y
_atom_site_fract_z
Ir1 0.7500 0.7500 0.7500
Ir2 0.0000 0.0000 0.0000
Fe1 0.5000 0.5000 0.5000
P1 0.2500 0.2500 0.2500
```

---

(5)
Compound: YSc2Se
Source: the Alexandria database
Functional: PBEsol
Structure: optimized geometry

Properties
uncorrected formation energy: -73.2 kJ per mole of atoms

Geometry as CIF:
```
data_YSc2Se
_chemical_formula_sum 'Y1 Sc2 Se1'
_cell_length_a 3.5505
_cell_length_b 3.5505
_cell_length_c 9.1103
_cell_angle_alpha 78.76
_cell_angle_beta 78.76
_cell_angle_gamma 60.00
_space_group_name_H-M_alt 'P 1'
_space_group_IT_number 1
_space_group_name_Hall 'P 1'
loop_
_atom_site_label
_atom_site_fract_x
_atom_site_fract_y
_atom_site_fract_z
Y1 0.0000 0.0000 0.0000
Se1 0.5000 0.5000 0.5000
Sc1 0.7698 0.7698 0.6907
Sc2 0.2302 0.2302 0.3093
```

---

(6)
Compound: Zn2PtAu
Source: the Alexandria database
Functional: PBEsol
Structure: optimized geometry

Properties
energy of formation from the pure elements: -330 meV per atom

Geometry as CIF:
```
data_Zn2PtAu
_chemical_formula_sum 'Zn2 Pt1 Au1'
_cell_length_a 3.7259
_cell_length_b 3.7274
_cell_length_c 4.9913
_cell_angle_alpha 111.92
_cell_angle_beta 111.92
_cell_angle_gamma 90.00
_space_group_name_H-M_alt 'P 1'
_space_group_IT_number 1
_space_group_name_Hall 'P 1'
loop_
_atom_site_label
_atom_site_fract_x
_atom_site_fract_y
_atom_site_fract_z
Pt1 0.7499 0.2499 0.4999
Zn1 0.2500 0.7500 0.5001
Zn2 0.0000 0.0000 0.0001
Au1 0.5000 0.5000 0.0000
```